Entry 1:
Entry from Alexandria: crystalline Na3GaS3 at its relaxed geometry (PBEsol).

Properties
As for the formation energy without anion corrections: -7.27 eV/f.u. The calculation puts the raw total energy at -27.961 eV/f.u. The space-group type is No. 14. The value obtained for the density is 2.52 Mg/m³. Its spin magnetization is 0.0 μB/cell.

a b c (Å): 6.8949 7.1243 12.6245
angles (deg): 89.20 90.00 90.00
Sites, in units of the cell vectors:
Na  0.9646  0.2254  0.7100
Na  0.4646  0.2746  0.7900
Na  0.0354  0.7746  0.2900
Na  0.5354  0.7254  0.2100
Na  0.0025  0.8395  0.8896
Na  0.5025  0.6605  0.6104
Na  0.9975  0.1605  0.1104
Na  0.4975  0.3395  0.3896
Na  0.0019  0.7086  0.6022
Na  0.5019  0.7914  0.8978
Na  0.9981  0.2914  0.3978
Na  0.4981  0.2086  0.1022
Ga  0.1428  0.5850  0.0824
Ga  0.8572  0.4150  0.9176
Ga  0.3572  0.0850  0.5824
Ga  0.6428  0.9150  0.4176
S  0.7577  0.6222  0.4276
S  0.7423  0.1222  0.9276
S  0.2577  0.8778  0.0724
S  0.2423  0.3778  0.5724
S  0.1959  0.4221  0.9294
S  0.6959  0.0779  0.5706
S  0.8041  0.5779  0.0706
S  0.3041  0.9221  0.4294
S  0.7571  0.5713  0.7727
S  0.2571  0.9287  0.7273
S  0.2429  0.4287  0.2273
S  0.7429  0.0713  0.2727

---

Entry 2:
Entry from Alexandria: crystalline Zr8Al2Cu at its relaxed geometry (PBEsol).

Properties
The calculation puts the formation energy at -0.17 eV/atom. The calculation puts the raw total energy at -87.093 eV/f.u. The space-group type is No. 123. The value obtained for the density is 6.27 Mg/m³. Its spin magnetization is 0.0 μB/cell.

a b c (Å): 4.3166 4.3166 12.0418
angles (deg): 90.00 90.00 90.00
Sites, in units of the cell vectors:
Al  0.0000  0.0000  0.3159
Al  0.0000  0.0000  0.6841
Cu  0.0000  0.0000  0.0000
Zr  0.0000  0.5000  0.5000
Zr  0.5000  0.0000  0.5000
Zr  0.5000  0.5000  0.3192
Zr  0.5000  0.5000  0.6808
Zr  0.0000  0.5000  0.1411
Zr  0.5000  0.0000  0.1411
Zr  0.0000  0.5000  0.8589
Zr  0.5000  0.0000  0.8589

---

Entry 3:
Entry from Alexandria: crystalline ZrTcPdPb2 at its relaxed geometry (PBEsol).

Properties
The calculation puts the formation energy at 0.93 eV/atom. The calculation puts the raw total energy at -29.651 eV/f.u. The space-group type is No. 123. The value obtained for the density is 9.58 Mg/m³. Its spin magnetization is 0.0 μB/cell.

a b c (Å): 4.7423 5.0946 5.0946
angles (deg): 90.00 90.00 90.00
Sites, in units of the cell vectors:
Pb  0.0000  0.0000  0.5000
Pb  0.0000  0.5000  0.0000
Zr  0.5000  0.5000  0.5000
Tc  0.0000  0.0000  0.0000
Pd  0.5000  0.0000  0.0000

---

Entry 4:
Entry from Alexandria: crystalline CdAs at its relaxed geometry (PBEsol).

Properties
The calculation puts the formation energy at 0.19 eV/atom. The energy relative to the lowest polymorph listed for this composition comes out at 234 meV/atom. The calculation puts the raw total energy at -5.930 eV/f.u. The space-group type is No. 51. The value obtained for the density is 7.58 Mg/m³. Its spin magnetization is 0.0 μB/cell.

a b c (Å): 2.8239 5.3893 5.3903
angles (deg): 90.00 90.00 90.00
Sites, in units of the cell vectors:
As  0.0000  0.2500  0.2509
As  0.0000  0.7500  0.7491
Cd  0.5000  0.2500  0.7511
Cd  0.5000  0.7500  0.2489

---

Entry 5:
Entry from Alexandria: crystalline ScGa4Fe3Co8 at its relaxed geometry (PBEsol).

Properties
The calculation puts the formation energy at -0.28 eV/atom. The calculation puts the raw total energy at -113.239 eV/f.u. The space-group type is No. 166. The value obtained for the density is 8.68 Mg/m³. Its spin magnetization is 15.1 μB/cell.

a b c (Å): 4.0168 4.0168 13.3896
angles (deg): 81.37 81.37 60.00
Sites, in units of the cell vectors:
Sc  0.0000  0.0000  0.0000
Ga  0.8739  0.8739  0.3782
Ga  0.6232  0.6232  0.1305
Ga  0.3768  0.3768  0.8695
Ga  0.1261  0.1261  0.6218
Fe  0.7513  0.7513  0.7460
Fe  0.5000  0.5000  0.5000
Fe  0.2487  0.2487  0.2540
Co  0.1873  0.1873  0.4381
Co  0.9346  0.9346  0.1962
Co  0.6904  0.6904  0.9287
Co  0.4387  0.4387  0.6838
Co  0.5613  0.5613  0.3162
Co  0.3096  0.3096  0.0713
Co  0.0654  0.0654  0.8038
Co  0.8127  0.8127  0.5619

---

Entry 6:
Entry from Alexandria: crystalline BeTl2Si at its relaxed geometry (PBEsol).

Properties
The energy relative to the lowest polymorph listed for this composition comes out at 0 meV/atom. As for the formation energy without anion corrections: 2.71 eV/f.u. The calculation puts the raw total energy at -12.294 eV/f.u. The space-group type is No. 10. The value obtained for the density is 9.11 Mg/m³. Its spin magnetization is 0.0 μB/cell.

a b c (Å): 3.4320 3.9055 6.3252
angles (deg): 90.00 106.57 90.00
Sites, in units of the cell vectors:
Be  0.5000  0.5000  0.0000
Tl  0.6884  0.0000  0.7621
Tl  0.3116  0.0000  0.2379
Si  0.0000  0.5000  0.5000

---

Q: Look up the spin magnetization of the second one.
A: 0.0 μB/cell

---

Q: Among the records above, which one has the highest raw total energy?
A: CdAs

---

What did the third record say?
Entry from Alexandria: crystalline ZrTcPdPb2 at its relaxed geometry (PBEsol).

Properties
The calculation puts the formation energy at 0.93 eV/atom. The calculation puts the raw total energy at -29.651 eV/f.u. The space-group type is No. 123. The value obtained for the density is 9.58 Mg/m³. Its spin magnetization is 0.0 μB/cell.

a b c (Å): 4.7423 5.0946 5.0946
angles (deg): 90.00 90.00 90.00
Sites, in units of the cell vectors:
Pb  0.0000  0.0000  0.5000
Pb  0.0000  0.5000  0.0000
Zr  0.5000  0.5000  0.5000
Tc  0.0000  0.0000  0.0000
Pd  0.5000  0.0000  0.0000